# K2VO4

Crystalline K2VO4 at its relaxed geometry (PBE+U, the Alexandria database).

Cell lengths 3.901, 3.901, 13.526 Å; angles 90.00, 90.00, 90.00 degrees
Space group I4/mmm (No. 139)
One atom of each set of equivalent atoms:
K1 0.000 0.000 0.153 (multiplicity 4)
V1 0.000 0.000 0.500 (multiplicity 2)
O1 0.000 0.000 0.365 (multiplicity 4)
O2 0.000 0.500 0.000 (multiplicity 4)

Results
ρ, g/cm³: 3.12
Total DFT energy (no corrections), eV per formula unit: -40.6